GGA+U Na3MnO3, relaxed; polymorph energy (0 for the lowest one) = 0.0407 eV per atom; electronic total energy = -5.184 eV per atom; space-group type = No. 2; total magnetic moment = 8.00 Bohr magnetons per cell
1.0
5.740 0.000 0.000
-0.021 5.868 0.000
-0.049 -2.621 6.125
Na Mn O
6 2 6
Direct
0.046 0.236 0.217
0.381 0.768 0.029
0.441 0.767 0.560
0.559 0.233 0.440
0.619 0.232 0.971
0.954 0.764 0.783
0.116 0.197 0.682
0.884 0.803 0.318
0.191 0.957 0.363
0.244 0.100 0.895
0.273 0.479 0.687
0.727 0.521 0.313
0.756 0.900 0.105
0.809 0.043 0.637